## Os3Br (PBE)

Data for crystalline Os3Br at its relaxed geometry.

Calculated values
The value obtained for the energy relative to the elements, uncorrected is 1.107 eV/atom. For the density, the calculation gives 17.14 g cm⁻³. The energy above the lowest structure with this stoichiometry comes out at 0.3437 eV/atom. The calculation puts the total DFT energy (no corrections) at -7.73 eV per atom. As for the density of states at the Fermi level: 0.713 states/eV/atom.

Structure (CIF):
```
data_Os3Br
_space_group_name_H-M_alt 'C 1 2/m 1'
_space_group_IT_number 12
_cell_length_a 9.940
_cell_length_b 2.840
_cell_length_c 4.471
_cell_angle_alpha 90.00
_cell_angle_beta 93.18
_cell_angle_gamma 90.00
loop_
_space_group_symop_operation_xyz
'x,y,z'
'-x,-y,-z'
'-x,y,-z'
'x,-y,z'
'x+1/2,y+1/2,z'
'-x+1/2,-y+1/2,-z'
'-x+1/2,y+1/2,-z'
'x+1/2,-y+1/2,z'
loop_
_atom_site_label
_atom_site_fract_x
_atom_site_fract_y
_atom_site_fract_z
Os1 0.000 0.000 0.000
Os2 0.220 0.500 0.229
Br1 0.000 0.500 0.500
```